Density functional theory data (PBE) for a relaxed SrCd9Ga3 crystal.

Results
* E_form: -0.09 eV per atom

Unit cell a=5.842 b=14.343 c=7.643 alpha=90.00 beta=111.14 gamma=90.00
Space group C2/m (No. 12)
Symmetry-distinct sites (fractional):
Sr 0.000 0.000 0.000 (multiplicity 2)
Cd 0.000 0.000 0.500 (multiplicity 2)
Cd 0.107 0.392 0.215 (multiplicity 8)
Cd 0.180 0.176 0.354 (multiplicity 8)
Ga 0.000 0.500 0.500 (multiplicity 2)
Ga 0.250 0.250 0.000 (multiplicity 4)

Density functional theory data (PBE) for a relaxed Ca2YMn crystal.

Results
* E_form: 0.18 eV per atom
* polymorph energy (0 for the lowest one): 0.00 eV/f.u.

Unit cell a=3.674 b=3.674 c=9.207 alpha=90.00 beta=90.00 gamma=90.00
Space group P4mm (No. 99)
Symmetry-distinct sites (fractional):
Ca 0.000 0.000 0.000 (multiplicity 1)
Ca 0.500 0.500 0.321 (multiplicity 1)
Y 0.500 0.500 0.699 (multiplicity 1)
Mn 0.000 0.000 0.530 (multiplicity 1)

Density functional theory data (PBE) for a relaxed TcSn2Te crystal.

Results
* formation energy from raw total energies: 0.577 eV per atom

Unit cell a=6.469 b=6.469 c=12.802 alpha=90.00 beta=90.00 gamma=90.00
Space group I-42d (No. 122)
Symmetry-distinct sites (fractional):
Tc 0.000 0.000 0.000 (multiplicity 4)
Sn 0.192 0.250 0.125 (multiplicity 8)
Te 0.000 0.000 0.500 (multiplicity 4)

Density functional theory data (PBE) for a relaxed HoNpFe4 crystal.

Results
* E_form: 0.07 eV per atom
* polymorph energy (0 for the lowest one): 0.42 eV/f.u.

Unit cell a=4.9034 b=4.9034 c=8.5331 alpha=90.00 beta=90.00 gamma=120.00
Space group P-3m1 (No. 164)
Symmetry-distinct sites (fractional):
Ho 0.3333 0.6667 0.4286 (multiplicity 2)
Np 0.3333 0.6667 0.0443 (multiplicity 2)
Fe 0.0000 0.0000 0.0000 (multiplicity 1)
Fe 0.0000 0.0000 0.5000 (multiplicity 1)
Fe 0.1663 0.3326 0.7484 (multiplicity 6)

Density functional theory data (PBE) for a relaxed NdHoTl4 crystal.

Results
* E_form: -0.07 eV per atom
* polymorph energy (0 for the lowest one): 0.97 eV/f.u.

Unit cell a=8.815 b=8.815 c=8.815 alpha=90.00 beta=90.00 gamma=90.00
Space group F-43m (No. 216)
Symmetry-distinct sites (fractional):
Nd 0.000 0.000 0.000 (multiplicity 4)
Ho 0.250 0.250 0.250 (multiplicity 4)
Tl 0.125 0.125 0.625 (multiplicity 16)

Density functional theory data (PBE) for a relaxed CsAlIn crystal.

Results
* E_form: 0.03 eV per atom
* polymorph energy (0 for the lowest one): 0.13 eV/f.u.

Unit cell a=4.338 b=4.869 c=13.611 alpha=83.77 beta=89.88 gamma=65.03
Space group P1 (No. 1)
Symmetry-distinct sites (fractional):
Cs 0.000 0.000 0.000 (multiplicity 1)
Cs 0.196 0.607 0.629 (multiplicity 1)
Al 0.073 0.890 0.297 (multiplicity 1)
Al 0.770 0.489 0.345 (multiplicity 1)
In 0.356 0.323 0.201 (multiplicity 1)
In 0.483 0.063 0.437 (multiplicity 1)

Electronic total energy (eV/atom)
-1.55; -4.73; -4.80; -8.49; -3.21; -2.41